Entry from Alexandria via LeMat-Bulk: crystalline MgIrRh2 at its relaxed geometry (PBE).

a = 8.967 Å, b = 8.967 Å, c = 8.967 Å
α = 17.88°, β = 17.88°, γ = 17.88°
Fractional coordinates of all 4 atoms:
Mg1 0.000 0.000 0.000
Ir1 0.500 0.500 0.500
Rh1 0.249 0.249 0.249
Rh2 0.751 0.751 0.751

Summary:
Symmetry: R-3m
Fermi-level density of states in states/eV/atom: 1.121
Energy of formation from the pure elements in eV per atom: -0.088